The following is a DFT calculation (GGA-PBE) of a relaxed structure of LaZr2AsC.

Cell and atoms, written as POSCAR:
```
LaZr2AsC
1.0
5.309 0.000 0.000
0.000 5.309 0.000
0.000 0.000 4.165
La Zr As C
1 2 1 1
direct
0.000 0.000 0.000
0.000 0.500 0.000
0.500 0.000 0.000
0.500 0.500 0.500
0.000 0.000 0.500
```

calculated total energy: -0.4118 Ry/atom
symmetry: No. 123
calculated density: 5.78 g cm⁻³

***

The following is a DFT calculation (GGA-PBE) of a relaxed structure of BaYBr5.

Cell and atoms, written as POSCAR:
```
BaYBr5
1.0
2.967 -10.205 0.000
2.967 10.205 0.000
-0.426 0.000 7.232
Ba Y Br
2 2 10
direct
0.172 0.828 0.750
0.828 0.172 0.250
0.423 0.577 0.750
0.577 0.423 0.250
0.129 0.871 0.250
0.225 0.288 0.404
0.288 0.225 0.904
0.306 0.682 0.002
0.318 0.694 0.498
0.682 0.306 0.502
0.694 0.318 0.998
0.712 0.775 0.096
0.775 0.712 0.596
0.871 0.129 0.750
```

calculated total energy: -0.3199 Ry/atom
distance to the lowest polymorph of the same formula: 0.007 eV/atom
energy relative to the elements, uncorrected: -1.960 eV/atom
symmetry: No. 15
calculated density: 4.75 g cm⁻³